{"formula": "LaRhW", "functional": "PBEsol", "state": "relaxed", "spacegroup": "P3m1 (156)", "n_ef_per_ev_fu": 3.328, "e_form_mev_per_atom": 438, "cell": [[2.916, 0.000, 0.000], [-1.458, 2.526, 0.000], [0.000, 0.000, 7.587]], "species": ["Rh", "W", "La"], "fractional_positions": [[0.333, 0.667, 0.634], [0.667, 0.333, 0.372], [0.000, 0.000, 0.994]]}

***

{"formula": "Nd2Mo4O15", "functional": "PBEsol", "state": "relaxed", "spacegroup": "P-1 (2)", "e_form_raw_ev_per_atom": -2.402, "n_ef_per_ev_fu": 0.000, "cell": [[-2.271, -6.284, -2.864], [-1.130, -3.413, 6.573], [-11.564, 2.594, -0.376]], "species": ["Nd", "Nd", "Nd", "Nd", "O", "O", "O", "O", "O", "O", "O", "O", "O", "O", "O", "O", "O", "O", "O", "O", "O", "O", "O", "O", "O", "O", "O", "O", "O", "O", "O", "O", "O", "O", "Mo", "Mo", "Mo", "Mo", "Mo", "Mo", "Mo", "Mo"], "fractional_positions": [[0.324, 0.905, 0.777], [0.763, 0.595, 0.779], [0.676, 0.095, 0.223], [0.237, 0.405, 0.221], [0.625, 0.960, 0.408], [0.704, 0.102, 0.019], [0.329, 0.723, 0.456], [0.413, 0.258, 0.373], [0.271, 0.710, 0.192], [0.052, 0.171, 0.514], [0.429, 0.591, 0.820], [0.571, 0.409, 0.180], [0.948, 0.829, 0.486], [0.298, 0.421, 0.584], [0.648, 0.909, 0.817], [0.007, 0.007, 0.847], [0.948, 0.503, 0.152], [0.121, 0.753, 0.672], [0.879, 0.247, 0.328], [0.993, 0.993, 0.153], [0.587, 0.742, 0.627], [0.671, 0.277, 0.544], [0.654, 0.788, 0.192], [0.717, 0.608, 0.982], [0.375, 0.040, 0.592], [0.283, 0.392, 0.018], [0.084, 0.492, 0.402], [0.702, 0.579, 0.416], [0.346, 0.212, 0.808], [0.352, 0.091, 0.183], [0.052, 0.497, 0.848], [0.916, 0.508, 0.598], [0.296, 0.898, 0.981], [0.729, 0.290, 0.808], [0.230, 0.920, 0.127], [0.435, 0.240, 0.520], [0.565, 0.760, 0.480], [0.770, 0.080, 0.873], [0.909, 0.333, 0.461], [0.721, 0.579, 0.128], [0.279, 0.421, 0.872], [0.091, 0.667, 0.539]]}

***

{"formula": "SbP2Ir", "functional": "PBEsol", "state": "relaxed", "spacegroup": "F-43m (216)", "e_form_raw_ev_per_atom": 0.511, "n_ef_per_ev_fu": 4.193, "cell": [[-2.519, -2.855, 2.422], [1.431, -4.218, 0.720], [1.342, -1.254, 4.121]], "species": ["Ir", "Sb", "P", "P"], "fractional_positions": [[0.500, 0.500, 0.500], [0.250, 0.250, 0.250], [0.750, 0.750, 0.750], [0.000, 0.000, 0.000]]}

***

{"formula": "KTl2HgH", "functional": "PBEsol", "state": "relaxed", "spacegroup": "P4/mmm (123)", "n_ef_per_ev_fu": 2.135, "cell": [[4.844, 0.000, 0.000], [0.000, 4.844, 0.000], [0.000, 0.000, 5.231]], "species": ["Tl", "Tl", "H", "Hg", "K"], "fractional_positions": [[0.000, 0.500, 0.000], [0.500, 0.000, 0.000], [0.000, 0.000, 0.000], [0.000, 0.000, 0.500], [0.500, 0.500, 0.500]]}

***

{"formula": "BeMo2Cl", "functional": "PBEsol", "state": "relaxed", "spacegroup": "P4/mmm (123)", "e_form_raw_ev_per_atom": 0.322, "n_ef_per_ev_fu": 1.824, "cell": [[2.996, 0.000, 0.000], [0.000, 2.996, 0.000], [0.000, 0.000, 6.249]], "species": ["Be", "Cl", "Mo", "Mo"], "fractional_positions": [[0.500, 0.500, 0.000], [0.500, 0.500, 0.500], [0.000, 0.000, 0.189], [0.000, 0.000, 0.811]]}

***

{"formula": "Sr2NiTeO6", "functional": "PBEsol", "state": "relaxed", "spacegroup": "Fm-3m (225)", "e_form_raw_ev_per_atom": -1.847, "n_ef_per_ev_fu": 4.511, "cell": [[5.573, 0.000, 0.000], [2.786, 4.826, 0.000], [2.786, 1.609, 4.550]], "species": ["O", "O", "O", "O", "O", "O", "Sr", "Sr", "Ni", "Te"], "fractional_positions": [[0.245, 0.755, 0.755], [0.755, 0.755, 0.245], [0.755, 0.245, 0.245], [0.245, 0.245, 0.755], [0.755, 0.245, 0.755], [0.245, 0.755, 0.245], [0.750, 0.750, 0.750], [0.250, 0.250, 0.250], [0.500, 0.500, 0.500], [0.000, 0.000, 0.000]]}

***

{"formula": "KBa4Pb", "functional": "PBEsol", "state": "relaxed", "spacegroup": "F-43m (216)", "n_ef_per_ev_fu": 9.655, "e_form_mev_per_atom": 198, "cell": [[-2.203, 6.773, -2.104], [-7.235, 1.665, -0.170], [-2.847, 4.697, 4.998]], "species": ["Ba", "Ba", "Ba", "Ba", "Pb", "K"], "fractional_positions": [[0.373, 0.373, 0.882], [0.882, 0.373, 0.373], [0.373, 0.882, 0.373], [0.373, 0.373, 0.373], [0.000, 0.000, 0.000], [0.750, 0.750, 0.750]]}

***

{"formula": "LiZnRh2", "functional": "PBEsol", "state": "relaxed", "spacegroup": "I-4m2 (119)", "n_ef_per_ev_fu": 4.705, "e_form_mev_per_atom": -148, "cell": [[-0.482, -2.877, 2.433], [3.439, -1.339, -0.903], [-0.017, 4.087, 1.864]], "species": ["Zn", "Rh", "Rh", "Li"], "fractional_positions": [[0.500, 0.500, 0.000], [0.750, 0.250, 0.500], [0.000, 0.000, 0.000], [0.250, 0.750, 0.500]]}

***

{"formula": "Co7NiP4", "functional": "PBEsol", "state": "relaxed", "spacegroup": "Pm (6)", "n_ef_per_ev_fu": 10.816, "e_form_mev_per_atom": -634, "cell": [[3.463, 0.000, 0.000], [0.000, 5.453, -0.002], [0.000, -0.032, 6.529]], "species": ["Co", "Co", "Co", "Co", "Co", "Co", "Co", "Ni", "P", "P", "P", "P"], "fractional_positions": [[0.500, 0.962, 0.832], [0.000, 0.641, 0.933], [0.000, 0.151, 0.565], [0.000, 0.538, 0.331], [0.000, 0.027, 0.170], [0.500, 0.352, 0.065], [0.500, 0.858, 0.435], [0.500, 0.471, 0.667], [0.000, 0.759, 0.622], [0.500, 0.746, 0.122], [0.500, 0.249, 0.376], [0.000, 0.245, 0.881]]}

***

{"formula": "InBrCl", "functional": "PBEsol", "state": "relaxed", "spacegroup": "Fmm2 (42)", "e_form_raw_ev_per_atom": -0.832, "n_ef_per_ev_fu": 0.000, "cell": [[-3.231, 2.510, -4.828], [-2.677, -5.424, 2.488], [-5.530, 0.943, 2.929]], "species": ["In", "In", "Br", "Br", "Cl", "Cl"], "fractional_positions": [[0.218, 0.000, 0.782], [0.714, 0.000, 0.286], [0.189, 0.594, 0.811], [0.595, 0.406, 0.405], [0.242, 0.000, 0.154], [0.846, 0.000, 0.758]]}

***

{"formula": "NbP2ClO", "functional": "PBEsol", "state": "relaxed", "spacegroup": "P4/mmm (123)", "e_form_raw_ev_per_atom": 0.152, "n_ef_per_ev_fu": 3.299, "cell": [[3.775, 0.000, 0.000], [0.000, 3.775, 0.000], [0.000, 0.000, 4.958]], "species": ["P", "P", "O", "Nb", "Cl"], "fractional_positions": [[0.000, 0.500, 0.000], [0.500, 0.000, 0.000], [0.000, 0.000, 0.000], [0.500, 0.500, 0.500], [0.000, 0.000, 0.500]]}

***

{"formula": "Ag3AsS3", "functional": "PBEsol", "state": "relaxed", "spacegroup": "R3c (161)", "e_form_raw_ev_per_atom": -0.084, "cell": [[6.774, -0.125, -0.157], [-1.386, 6.632, -0.157], [-1.386, -1.674, 6.419]], "species": ["Ag", "Ag", "Ag", "Ag", "Ag", "Ag", "S", "S", "S", "S", "S", "S", "As", "As"], "fractional_positions": [[0.467, 0.917, 0.244], [0.967, 0.744, 0.417], [0.744, 0.417, 0.967], [0.417, 0.967, 0.744], [0.244, 0.467, 0.917], [0.917, 0.244, 0.467], [0.784, 0.097, 0.760], [0.284, 0.260, 0.597], [0.097, 0.760, 0.784], [0.760, 0.784, 0.097], [0.260, 0.597, 0.284], [0.597, 0.284, 0.260], [0.512, 0.512, 0.512], [0.012, 0.012, 0.012]]}

***

{"formula": "SrSb2Pb", "functional": "PBEsol", "state": "relaxed", "spacegroup": "P4/mmm (123)", "e_form_raw_ev_per_atom": -0.471, "n_ef_per_ev_fu": 2.321, "cell": [[4.574, 0.000, 0.000], [0.000, 5.028, 0.000], [0.000, 0.000, 5.028]], "species": ["Sr", "Pb", "Sb", "Sb"], "fractional_positions": [[0.500, 0.500, 0.500], [0.500, 0.000, 0.000], [0.000, 0.500, 0.000], [0.000, 0.000, 0.500]]}

***

{"formula": "TaAlRh2", "functional": "PBEsol", "state": "relaxed", "spacegroup": "F-43m (216)", "n_ef_per_ev_fu": 4.845, "e_form_mev_per_atom": -242, "cell": [[-3.439, -1.100, -2.462], [-2.747, -3.118, 1.351], [-4.039, 1.056, 1.291]], "species": ["Rh", "Rh", "Ta", "Al"], "fractional_positions": [[0.750, 0.750, 0.750], [0.000, 0.000, 0.000], [0.250, 0.250, 0.250], [0.500, 0.500, 0.500]]}

***

{"formula": "AlW2Se", "functional": "PBEsol", "state": "relaxed", "spacegroup": "R3m (160)", "e_form_raw_ev_per_atom": 0.134, "n_ef_per_ev_fu": 2.937, "cell": [[2.987, 0.000, 0.000], [1.494, 2.587, 0.000], [1.494, 0.862, 8.369]], "species": ["W", "W", "Al", "Se"], "fractional_positions": [[0.750, 0.750, 0.749], [0.996, 0.996, 0.012], [0.498, 0.498, 0.505], [0.255, 0.255, 0.234]]}

***

{"formula": "BaLi2In", "functional": "PBEsol", "state": "relaxed", "spacegroup": "P4/mmm (123)", "n_ef_per_ev_fu": 3.303, "e_form_mev_per_atom": -105, "cell": [[-3.652, -0.147, 0.520], [0.134, -3.688, -0.099], [1.124, -0.170, 7.847]], "species": ["Li", "Li", "Ba", "In"], "fractional_positions": [[0.000, 0.000, 0.324], [0.000, 0.000, 0.676], [0.500, 0.500, 0.000], [0.500, 0.500, 0.500]]}

***

{"formula": "LaBe2As2", "functional": "PBEsol", "state": "relaxed", "spacegroup": "I4/mmm (139)", "n_ef_per_ev_fu": 1.316, "e_form_mev_per_atom": -644, "cell": [[3.721, 0.000, 0.000], [0.000, 3.721, 0.000], [-1.861, -1.861, 6.178]], "species": ["La", "Be", "Be", "As", "As"], "fractional_positions": [[0.000, 0.000, 0.000], [0.250, 0.750, 0.500], [0.750, 0.250, 0.500], [0.361, 0.361, 0.722], [0.639, 0.639, 0.278]]}

***

{"formula": "ReRhI2", "functional": "PBEsol", "state": "relaxed", "spacegroup": "Fm-3m (225)", "e_form_raw_ev_per_atom": 1.147, "n_ef_per_ev_fu": 5.391, "cell": [[-3.641, 2.762, 1.200], [-3.932, -0.003, -2.620], [-3.968, -1.925, 1.695]], "species": ["I", "I", "Re", "Rh"], "fractional_positions": [[0.750, 0.750, 0.750], [0.250, 0.250, 0.250], [0.500, 0.500, 0.500], [0.000, 0.000, 0.000]]}

***

{"formula": "CaAlIr2F", "functional": "PBEsol", "state": "relaxed", "spacegroup": "P4/mmm (123)", "e_form_raw_ev_per_atom": 0.362, "n_ef_per_ev_fu": 3.971, "cell": [[4.355, 0.000, 0.000], [0.000, 4.355, 0.000], [0.000, 0.000, 6.011]], "species": ["Ir", "Ir", "Al", "Ca", "F"], "fractional_positions": [[0.500, 0.000, 0.000], [0.000, 0.500, 0.000], [0.000, 0.000, 0.000], [0.000, 0.000, 0.500], [0.500, 0.500, 0.500]]}

***

{"formula": "ZrGaTeN2", "functional": "PBEsol", "state": "relaxed", "spacegroup": "P4/mmm (123)", "e_form_raw_ev_per_atom": 0.823, "n_ef_per_ev_fu": 3.094, "cell": [[3.966, 0.000, 0.000], [0.000, 3.966, 0.000], [0.000, 0.000, 5.237]], "species": ["Ga", "N", "N", "Zr", "Te"], "fractional_positions": [[0.000, 0.000, 0.000], [0.000, 0.500, 0.000], [0.500, 0.000, 0.000], [0.500, 0.500, 0.500], [0.000, 0.000, 0.500]]}

***

no.,M_tot (Bohr magnetons per cell),VASP energy (eV/atom)
1,0.00,-8.66
2,0.00,-8.89
3,0.00,-5.98
4,0.00,-1.91
5,0.00,-7.06
6,1.89,-6.33
7,0.01,-2.09
8,0.00,-5.10
9,0.01,-7.59
10,0.00,-3.12
11,0.02,-5.78
12,0.00,-4.11
13,0.00,-4.21
14,0.00,-8.47
15,0.00,-8.76
16,0.00,-2.37
17,0.00,-5.36
18,0.00,-5.10
19,1.03,-5.20
20,0.38,-5.78